Material: GaBSe3
Method: DFT, PBE-GGA
State: relaxed

a = 3.5084 Å, b = 6.4062 Å, c = 10.6400 Å
α = 95.34°, β = 90.00°, γ = 105.89°
Element x y z (fractional)
Se: 0.9168 0.8336 0.2592
Se: 0.3548 0.7096 0.6422
Se: 0.6452 0.2904 0.3578
Se: 0.1449 0.2898 0.0791
Se: 0.0832 0.1664 0.7408
Se: 0.8551 0.7102 0.9209
B: 0.0862 0.1724 0.2631
B: 0.9138 0.8276 0.7369
Ga: 0.3497 0.6994 0.1075
Ga: 0.6503 0.3006 0.8925

Properties
**Space group**: No. 12

=====

Material: Ga2BSe
Method: DFT, PBE-GGA
State: relaxed

a = 5.3919 Å, b = 5.3919 Å, c = 6.5020 Å
α = 65.50°, β = 65.50°, γ = 90.00°
Element x y z (fractional)
Ga: 0.8750 0.7986 0.7500
Ga: 0.3750 0.4514 0.7500
Ga: 0.2014 0.6250 0.2500
Ga: 0.5486 0.1250 0.2500
Se: 0.7500 0.2500 0.5000
Se: 0.0000 0.0000 0.0000
B: 0.5000 0.5000 0.0000
B: 0.2500 0.7500 0.5000

Properties
**Energy above the lowest structure with this stoichiometry**: 0.00 kJ/mol of atoms
**Space group**: No. 122

=====

Material: Tl2GaBSe4
Method: DFT, PBE-GGA
State: relaxed

a = 7.0866 Å, b = 7.0866 Å, c = 6.5342 Å
α = 122.82°, β = 122.83°, γ = 90.02°
Element x y z (fractional)
Se: 0.9970 0.0752 0.7161
Se: 0.8310 0.4748 0.2277
Se: 0.3966 0.7527 0.2275
Se: 0.7191 0.6410 0.7163
Ga: 0.9859 0.4859 0.9718
B: 0.7359 0.7359 0.4719
Tl: 0.2358 0.2358 0.4715
Tl: 0.4857 0.9857 0.9714

Properties
**Space group**: No. 82

=====

Material: ZnGa2BSe
Method: DFT, PBE-GGA
State: relaxed

a = 5.0019 Å, b = 3.8700 Å, c = 5.0019 Å
α = 90.00°, β = 90.00°, γ = 90.00°
Element x y z (fractional)
Ga: 0.5000 0.0000 0.0000
Ga: 0.0000 0.0000 0.5000
Se: 0.5000 0.5000 0.5000
Zn: 0.0000 0.0000 0.0000
B: 0.0000 0.5000 0.0000

Properties
**Space group**: No. 123

=====

Material: Zn2GaBSe
Method: DFT, PBE-GGA
State: relaxed

a = 4.9777 Å, b = 3.8090 Å, c = 4.9777 Å
α = 90.00°, β = 90.00°, γ = 90.00°
Element x y z (fractional)
Se: 0.5000 0.5000 0.5000
Ga: 0.0000 0.0000 0.0000
Zn: 0.5000 0.0000 0.0000
Zn: 0.0000 0.0000 0.5000
B: 0.0000 0.5000 0.0000

Properties
**Space group**: No. 123

=====

Material: Ga2SiB
Method: DFT, PBE-GGA
State: relaxed

a = 4.5524 Å, b = 4.5524 Å, c = 7.2363 Å
α = 71.67°, β = 71.67°, γ = 90.00°
Element x y z (fractional)
Ga: 0.1923 0.6250 0.2500
Ga: 0.3750 0.4423 0.7500
Ga: 0.5577 0.1250 0.2500
Ga: 0.8750 0.8077 0.7500
Si: 0.7500 0.2500 0.5000
Si: 0.0000 0.0000 0.0000
B: 0.5000 0.5000 0.0000
B: 0.2500 0.7500 0.5000

Properties
**Energy above the lowest structure with this stoichiometry**: 0.00 kJ/mol of atoms
**Space group**: No. 122

=====

Material: GaSiB2
Method: DFT, PBE-GGA
State: relaxed

a = 3.9742 Å, b = 3.9742 Å, c = 3.9742 Å
α = 60.00°, β = 60.00°, γ = 60.00°
Element x y z (fractional)
B: 0.7500 0.7500 0.7500
B: 0.2500 0.2500 0.2500
Si: 0.0000 0.0000 0.0000
Ga: 0.5000 0.5000 0.5000

Properties
**Energy above the lowest structure with this stoichiometry**: 60.17 kJ/mol of atoms
**Space group**: No. 225

=====

Material: Ga3SiB
Method: DFT, PBE-GGA
State: relaxed

a = 4.3533 Å, b = 4.3533 Å, c = 4.3533 Å
α = 90.00°, β = 90.00°, γ = 90.00°
Element x y z (fractional)
Ga: 0.5000 0.0000 0.0000
Ga: 0.0000 0.5000 0.0000
Ga: 0.0000 0.0000 0.5000
Si: 0.5000 0.5000 0.5000
B: 0.0000 0.0000 0.0000

Properties
**Energy above the lowest structure with this stoichiometry**: 0.00 kJ/mol of atoms
**Space group**: No. 221

=====

Material: GaSi3B
Method: DFT, PBE-GGA
State: relaxed

a = 4.7137 Å, b = 4.7137 Å, c = 4.7137 Å
α = 90.00°, β = 90.00°, γ = 90.00°
Element x y z (fractional)
Si: 0.5000 0.0000 0.0000
Si: 0.0000 0.0000 0.5000
Si: 0.0000 0.5000 0.0000
Ga: 0.0000 0.0000 0.0000
B: 0.5000 0.5000 0.5000

Properties
**Energy above the lowest structure with this stoichiometry**: 111.40 kJ/mol of atoms
**Space group**: No. 221

=====

Material: GaSi2B2
Method: DFT, PBE-GGA
State: relaxed

a = 3.7959 Å, b = 3.7959 Å, c = 4.8995 Å
α = 67.21°, β = 67.21°, γ = 90.00°
Element x y z (fractional)
B: 0.6096 0.6096 0.7808
B: 0.3904 0.3904 0.2192
Si: 0.2500 0.7500 0.5000
Si: 0.7500 0.2500 0.5000
Ga: 0.0000 0.0000 0.0000

Properties
**Energy above the lowest structure with this stoichiometry**: 0.00 kJ/mol of atoms
**Space group**: No. 139

=====

Material: GaSi2B2
Method: DFT, PBE-GGA
State: relaxed

a = 6.5664 Å, b = 6.5664 Å, c = 2.6300 Å
α = 90.00°, β = 90.00°, γ = 90.00°
Element x y z (fractional)
Ga: 0.5000 0.5000 0.0000
Ga: 0.0000 0.0000 0.0000
B: 0.3517 0.8517 0.0000
B: 0.1483 0.3517 0.0000
B: 0.6483 0.1483 0.0000
B: 0.8517 0.6483 0.0000
Si: 0.8609 0.3609 0.5000
Si: 0.3609 0.1391 0.5000
Si: 0.6391 0.8609 0.5000
Si: 0.1391 0.6391 0.5000

Properties
**Energy above the lowest structure with this stoichiometry**: 34.60 kJ/mol of atoms
**Space group**: No. 127

=====

Material: Ga2SiB
Method: DFT, PBE-GGA
State: relaxed

a = 4.3829 Å, b = 4.3829 Å, c = 4.3829 Å
α = 60.00°, β = 60.00°, γ = 60.00°
Element x y z (fractional)
Si: 0.5000 0.5000 0.5000
B: 0.0000 0.0000 0.0000
Ga: 0.2500 0.2500 0.2500
Ga: 0.7500 0.7500 0.7500

Properties
**Energy above the lowest structure with this stoichiometry**: 36.62 kJ/mol of atoms
**Space group**: No. 225

=====

Number 1: formation energy without anion corrections -0.9 eV per formula unit, final energy -4.2109 eV per atom. Number 2: formation energy without anion corrections 0.1 eV per formula unit, final energy -4.0193 eV per atom. Number 3: formation energy without anion corrections -2.7 eV per formula unit, final energy -3.8899 eV per atom. Number 4: formation energy without anion corrections 3.0 eV per formula unit, final energy -2.8906 eV per atom. Number 5: formation energy without anion corrections 3.6 eV per formula unit, final energy -2.4321 eV per atom. Number 6: formation energy without anion corrections 2.1 eV per formula unit, final energy -4.0243 eV per atom. Number 7: formation energy without anion corrections 5.0 eV per formula unit, final energy -4.1917 eV per atom. Number 8: formation energy without anion corrections 2.8 eV per formula unit, final energy -3.6834 eV per atom. Number 9: formation energy without anion corrections 9.1 eV per formula unit, final energy -3.3789 eV per atom. Number 10: formation energy without anion corrections 2.3 eV per formula unit, final energy -4.9834 eV per atom. Number 11: formation energy without anion corrections 4.1 eV per formula unit, final energy -4.6248 eV per atom. Number 12: formation energy without anion corrections 3.6 eV per formula unit, final energy -3.6448 eV per atom.